The following is a DFT calculation (GGA-PBE) of crystalline Cs2Ag3Sb2 at its relaxed geometry.

Values from the calculation:
theoretical density	5.6	g cm⁻³
energy relative to the elements, uncorrected	-0.163	eV/atom
volume	247.8	Å³ per cell
magnetic moment	0.00	Bohr magnetons per cell

CIF file:
```
data_Cs2Ag3Sb2
_cell_length_a 4.8227
_cell_length_b 7.4950
_cell_length_c 8.5240
_cell_angle_alpha 119.98
_cell_angle_beta 90.00
_cell_angle_gamma 108.77
_space_group_name_H-M_alt 'P 1'
_space_group_IT_number 1
loop_
_space_group_symop_operation_xyz
'x,y,z'
loop_
_atom_site_label
_atom_site_type_symbol
_atom_site_fract_x
_atom_site_fract_y
_atom_site_fract_z
Cs1 Cs 0.8660 0.7320 0.2431
Ag1 Ag 0.5000 0.0000 0.0000
Ag2 Ag 0.3233 0.6466 0.5849
Ag3 Ag 0.6767 0.3534 0.4151
Sb1 Sb 0.8695 0.7390 0.7857
Cs2 Cs 0.1340 0.2680 0.7569
Sb2 Sb 0.1305 0.2610 0.2143
```

***

The following is a DFT calculation (GGA-PBE) of crystalline CoHg3Pd12 at its relaxed geometry.

Values from the calculation:
theoretical density	12.5	g cm⁻³
ΔH_f (0 K)	-58	meV per atom
volume	257.4	Å³ per cell
magnetic moment	3.43	Bohr magnetons per cell

CIF file:
```
data_CoHg3Pd12
_cell_length_a 3.9920
_cell_length_b 3.9920
_cell_length_c 16.1496
_cell_angle_alpha 90.00
_cell_angle_beta 90.00
_cell_angle_gamma 90.00
_space_group_name_H-M_alt 'P 1'
_space_group_IT_number 1
loop_
_space_group_symop_operation_xyz
'x,y,z'
loop_
_atom_site_label
_atom_site_type_symbol
_atom_site_fract_x
_atom_site_fract_y
_atom_site_fract_z
Hg1 Hg 0.0000 0.0000 0.5000
Pd1 Pd 0.5000 0.5000 0.0000
Pd2 Pd 0.5000 0.0000 0.6286
Pd3 Pd 0.5000 0.0000 0.1134
Pd4 Pd 0.5000 0.5000 0.7584
Pd5 Pd 0.0000 0.5000 0.8866
Pd6 Pd 0.5000 0.5000 0.5000
Pd7 Pd 0.5000 0.5000 0.2416
Pd8 Pd 0.0000 0.5000 0.1134
Hg2 Hg 0.0000 0.0000 0.7563
Hg3 Hg 0.0000 0.0000 0.2437
Pd9 Pd 0.5000 0.0000 0.3714
Co1 Co 0.0000 0.0000 0.0000
Pd10 Pd 0.5000 0.0000 0.8866
Pd11 Pd 0.0000 0.5000 0.6286
Pd12 Pd 0.0000 0.5000 0.3714
```

***

The following is a DFT calculation (GGA-PBE) of crystalline CuPC3 at its relaxed geometry.

Values from the calculation:
theoretical density	4.6	g cm⁻³
ΔH_f (0 K)	2068	meV per atom
volume	47.4	Å³ per cell
magnetic moment	0.00	Bohr magnetons per cell
offset from the most stable computed form	0	meV/atom

CIF file:
```
data_CuPC3
_cell_length_a 3.6189
_cell_length_b 3.6189
_cell_length_c 3.6189
_cell_angle_alpha 90.00
_cell_angle_beta 90.00
_cell_angle_gamma 90.00
_space_group_name_H-M_alt 'P 1'
_space_group_IT_number 1
loop_
_space_group_symop_operation_xyz
'x,y,z'
loop_
_atom_site_label
_atom_site_type_symbol
_atom_site_fract_x
_atom_site_fract_y
_atom_site_fract_z
P1 P 0.0000 0.0000 0.0000
C1 C 0.5000 0.0000 0.0000
Cu1 Cu 0.5000 0.5000 0.5000
C2 C 0.0000 0.0000 0.5000
C3 C 0.0000 0.5000 0.0000
```